Entry from the Alexandria database: a geometry-optimized Y4Er2Tm2Th structure (PBE-GGA).

Values from the calculation:
Calculated formation energy (eV/atom): 0.004

a = 18.535 Å, b = 3.577 Å, c = 9.488 Å
α = 90.00°, β = 115.64°, γ = 90.00°
Space group C2/m (No. 12)
Symmetry-distinct sites (fractional):
Y: 0.018 0.000 0.331 [4 per cell]
Y: 0.185 0.500 0.333 [4 per cell]
Er: 0.148 0.500 0.668 [4 per cell]
Tm: 0.166 0.000 0.001 [4 per cell]
Th: 0.000 0.500 0.000 [2 per cell]